Entry 1:
The following is a PBE calculation of crystalline CaDy2ZrAs4 at its relaxed geometry, from Alexandria.

Calculated values
- Crystal system: monoclinic
- SG: No. 10
- Raw total energy: -6.114 eV per atom

Structure (POSCAR):
```
CaDy2ZrAs4
1.0
4.062 0.000 0.000
0.000 7.088 0.162
0.000 -2.439 6.566
Ca Dy Zr As
1 2 1 4
Cartesian
2.031 3.544 0.081 Ca
2.031 -1.220 3.283 Dy
0.000 2.324 3.364 Dy
0.000 0.000 0.000 Zr
2.031 1.101 1.617 As
2.031 3.547 5.112 As
0.000 -0.141 4.983 As
0.000 4.790 1.746 As
```

***

Entry 2:
The following is a PBE calculation of crystalline Ca2DyZrAs4 at its relaxed geometry, from Alexandria.

Calculated values
- Crystal system: monoclinic
- SG: No. 10
- Raw total energy: -5.666 eV per atom

Structure (POSCAR):
```
Ca2DyZrAs4
1.0
4.052 0.000 0.000
0.000 7.059 0.135
0.000 -2.456 6.831
Ca Dy Zr As
2 1 1 4
Cartesian
2.026 -1.228 3.415 Ca
0.000 2.301 3.483 Ca
2.026 3.529 0.067 Dy
0.000 0.000 0.000 Zr
2.026 1.082 1.589 As
2.026 3.521 5.376 As
0.000 -0.158 5.270 As
0.000 4.761 1.695 As
```

***

Entry 3:
The following is a PBE calculation of crystalline CaErAs2 at its relaxed geometry, from Alexandria.

Calculated values
- Crystal system: trigonal
- Relative energy among the computed polymorphs: 0.000 eV per atom
- SG: No. 166
- Raw total energy: -5.154 eV per atom

Structure (POSCAR):
```
CaErAs2
1.0
-3.839 -1.443 -0.199
-1.369 -1.721 -3.467
0.499 -7.306 0.999
As Ca Er
2 1 1
Cartesian
-3.566 -7.758 -2.033 As
-1.144 -2.711 -0.633 As
0.000 0.000 0.000 Ca
-2.355 -5.235 -1.333 Er
```

***

Entry 4:
The following is a PBE calculation of crystalline CaEr3As4 at its relaxed geometry, from Alexandria.

Calculated values
- Crystal system: monoclinic
- SG: No. 13
- Raw total energy: -5.648 eV per atom

Structure (POSCAR):
```
CaEr3As4
1.0
-4.891 -4.259 -2.938
1.504 -2.284 6.602
-6.000 4.801 3.027
Ca As Er
2 8 6
Cartesian
-8.926 1.012 0.449 Ca
-1.965 -0.471 -0.360 Ca
-3.365 2.382 3.531 As
-7.267 1.458 2.878 As
-4.366 -0.903 1.333 As
-5.278 -4.220 -0.829 As
-4.109 2.477 7.520 As
-5.021 -0.839 5.358 As
-2.120 -3.200 3.813 As
-6.022 -4.125 3.160 As
-5.912 -1.399 -1.072 Er
-4.979 1.940 1.160 Er
-6.670 -1.333 2.991 Er
-3.659 -3.742 1.472 Er
-2.717 -0.410 3.700 Er
-5.728 1.999 5.219 Er
```

***

The calculation returns the following calculated formation energy values, one per record and in order: -127.3; -115.5; -114.6; -131.4 kJ per mole of atoms.
The calculation returns the following V values, one per record and in order: 190.7; 196.7; 102.2; 396.0 Å³/cell.